Record 1
SrBe2PO6 | GGA-PBE | optimized geometry

POSCAR file:
```
SrBe2PO6
1.0
4.910 -4.532 0.000
4.910 4.532 0.000
-3.349 0.000 5.133
Sr Be P O
2 4 2 12
Direct
0.189 0.811 0.750
0.811 0.189 0.250
0.259 0.380 0.893
0.380 0.259 0.393
0.620 0.741 0.607
0.741 0.620 0.107
0.184 0.816 0.250
0.816 0.184 0.750
0.032 0.198 0.714
0.177 0.623 0.004
0.198 0.032 0.214
0.306 0.399 0.637
0.377 0.823 0.496
0.399 0.306 0.137
0.601 0.694 0.863
0.623 0.177 0.504
0.694 0.601 0.363
0.802 0.968 0.786
0.823 0.377 0.996
0.968 0.802 0.286
```

Summary:
Space-group type: No. 15
E_form (uncorrected) (eV per atom): -2.384
Calculated density (Mg/m³): 3.38
Crystal system: monoclinic
Total magnetization (μB/atom): 0.098



Record 2
SrBe4P3O12 | GGA-PBE | optimized geometry

POSCAR file:
```
SrBe4P3O12
1.0
4.784 2.762 2.341
-4.784 2.762 2.341
0.000 -5.524 2.341
Sr Be P O
1 4 3 12
Direct
0.000 0.000 0.000
0.072 0.500 0.928
0.500 0.500 0.500
0.500 0.928 0.072
0.928 0.072 0.500
0.000 0.559 0.441
0.441 0.000 0.559
0.559 0.441 0.000
0.027 0.622 0.734
0.093 0.907 0.500
0.266 0.378 0.973
0.334 0.666 0.500
0.378 0.973 0.266
0.500 0.093 0.907
0.500 0.334 0.666
0.622 0.734 0.027
0.666 0.500 0.334
0.734 0.027 0.622
0.907 0.500 0.093
0.973 0.266 0.378
```

Summary:
Space-group type: No. 155
E_form (uncorrected) (eV per atom): -2.086
Calculated density (Mg/m³): 3.66
Crystal system: trigonal
Total magnetization (μB/atom): 0.000



Record 3
Sr2Be2P2O | GGA-PBE | optimized geometry

POSCAR file:
```
Sr2Be2P2O
1.0
5.410 -1.904 0.000
5.410 1.904 0.000
-3.875 0.000 5.816
Sr Be P O
2 2 2 1
Direct
0.046 0.046 0.299
0.954 0.954 0.701
0.328 0.328 0.928
0.672 0.672 0.072
0.298 0.298 0.244
0.702 0.702 0.756
0.500 0.500 0.000
```

Summary:
Space-group type: No. 12
E_form (uncorrected) (eV per atom): -1.372
Calculated density (Mg/m³): 3.76
Crystal system: monoclinic
Total magnetization (μB/atom): 0.000



What is the calculated density in the first record?
3.38 Mg/m³